[1]
The following is a DFT calculation (GGA-PBE) of LiBe2HgPb after structural relaxation.

The formation energy is 4.0 eV/f.u.

The structure belongs to space group P4/mmm (No. 123); the cell edges are 4.5174, 4.5174 and 4.7069 Å and the angles 90.00°, 90.00° and 90.00°. The asymmetric unit holds Li at (0.0000, 0.0000, 0.0000), Be at (0.0000, 0.5000, 0.0000), Hg at (0.0000, 0.0000, 0.5000) and Pb at (0.5000, 0.5000, 0.5000).

[2]
The following is a DFT calculation (GGA-PBE) of LiPrBeHg after structural relaxation.

The formation energy is -0.4 eV/f.u.

The structure belongs to space group F-43m (No. 216); the cell edges are 6.7398, 6.7398 and 6.7398 Å and the angles 90.00°, 90.00° and 90.00°. The asymmetric unit holds Li at (0.0000, 0.0000, 0.0000), Pr at (0.2500, 0.2500, 0.2500), Be at (0.0000, 0.0000, 0.5000) and Hg at (0.2500, 0.2500, 0.7500).

[3]
The following is a DFT calculation (GGA-PBE) of LiTa2BeHg after structural relaxation.

The formation energy is 3.9 eV/f.u.

The structure belongs to space group P4/mmm (No. 123); the cell edges are 4.4359, 4.4359 and 4.5184 Å and the angles 90.00°, 90.00° and 90.00°. The asymmetric unit holds Li at (0.0000, 0.0000, 0.0000), Ta at (0.0000, 0.5000, 0.5000), Be at (0.5000, 0.5000, 0.5000) and Hg at (0.5000, 0.5000, 0.0000).

[4]
The following is a DFT calculation (GGA-PBE) of LiBe2HgTe after structural relaxation.

The value obtained for the uncorrected formation energy is 499 meV/atom.

The structure belongs to space group P4/mmm (No. 123); the cell edges are 4.4643, 4.4643 and 6.1860 Å and the angles 90.00°, 90.00° and 90.00°. The asymmetric unit holds Li at (0.0000, 0.0000, 0.0000), Be at (0.0000, 0.5000, 0.5000), Hg at (0.5000, 0.5000, 0.5000) and Te at (0.5000, 0.5000, 0.0000).

[5]
The following is a DFT calculation (GGA-PBE) of LiTiBe2Hg after structural relaxation.

The formation energy is 6.6 eV/f.u.

The structure belongs to space group P4/mmm (No. 123); the cell edges are 4.5930, 4.5930 and 4.8879 Å and the angles 90.00°, 90.00° and 90.00°. The asymmetric unit holds Li at (0.0000, 0.0000, 0.0000), Ti at (0.0000, 0.0000, 0.5000), Be at (0.0000, 0.5000, 0.5000) and Hg at (0.5000, 0.5000, 0.0000).

[6]
The following is a DFT calculation (GGA-PBE) of Lu2BeHg after structural relaxation.

The formation energy is -0.6 eV/f.u. The value obtained for the energy above the lowest structure with this stoichiometry is 0.067 eV/atom.

The structure belongs to space group Fm-3m (No. 225); the cell edges are 7.0434, 7.0434 and 7.0434 Å and the angles 90.00°, 90.00° and 90.00°. The asymmetric unit holds Lu at (0.2500, 0.2500, 0.2500), Be at (0.0000, 0.0000, 0.0000) and Hg at (0.0000, 0.0000, 0.5000).

[7]
The following is a DFT calculation (GGA-PBE) of Lu2BeHg after structural relaxation.

The formation energy is -0.8 eV/f.u. The value obtained for the energy above the lowest structure with this stoichiometry is 0.000 eV/atom.

The structure belongs to space group P4/mmm (No. 123); the cell edges are 3.4193, 3.4193 and 7.2665 Å and the angles 90.00°, 90.00° and 90.00°. The asymmetric unit holds Lu at (0.0000, 0.0000, 0.2211), Be at (0.5000, 0.5000, 0.0000) and Hg at (0.5000, 0.5000, 0.5000).

[8]
The following is a DFT calculation (GGA-PBE) of LuScBeHg after structural relaxation.

The formation energy is -0.6 eV/f.u.

The structure belongs to space group F-43m (No. 216); the cell edges are 6.9079, 6.9079 and 6.9079 Å and the angles 90.00°, 90.00° and 90.00°. The asymmetric unit holds Lu at (0.0000, 0.0000, 0.0000), Sc at (0.0000, 0.0000, 0.5000), Be at (0.2500, 0.2500, 0.7500) and Hg at (0.2500, 0.2500, 0.2500).

[9]
The following is a DFT calculation (GGA-PBE) of SmLuBeHg after structural relaxation.

The formation energy is -0.4 eV/f.u.

The structure belongs to space group F-43m (No. 216); the cell edges are 7.2102, 7.2102 and 7.2102 Å and the angles 90.00°, 90.00° and 90.00°. The asymmetric unit holds Sm at (0.0000, 0.0000, 0.0000), Lu at (0.0000, 0.0000, 0.5000), Be at (0.2500, 0.2500, 0.2500) and Hg at (0.2500, 0.2500, 0.7500).

[10]
The following is a DFT calculation (GGA-PBE) of TmLuBeHg after structural relaxation.

The formation energy is -0.6 eV/f.u.

The structure belongs to space group F-43m (No. 216); the cell edges are 7.0724, 7.0724 and 7.0724 Å and the angles 90.00°, 90.00° and 90.00°. The asymmetric unit holds Tm at (0.0000, 0.0000, 0.0000), Lu at (0.0000, 0.0000, 0.5000), Be at (0.2500, 0.2500, 0.2500) and Hg at (0.2500, 0.2500, 0.7500).

[11]
The following is a DFT calculation (GGA-PBE) of YLuBeHg after structural relaxation.

The formation energy is -0.6 eV/f.u.

The structure belongs to space group F-43m (No. 216); the cell edges are 7.1317, 7.1317 and 7.1317 Å and the angles 90.00°, 90.00° and 90.00°. The asymmetric unit holds Y at (0.0000, 0.0000, 0.0000), Lu at (0.0000, 0.0000, 0.5000), Be at (0.2500, 0.2500, 0.2500) and Hg at (0.2500, 0.2500, 0.7500).

[12]
The following is a DFT calculation (GGA-PBE) of MgBe4Hg after structural relaxation.

The formation energy is 1.2 eV/f.u.

The structure belongs to space group F-43m (No. 216); the cell edges are 6.5893, 6.5893 and 6.5893 Å and the angles 90.00°, 90.00° and 90.00°. The asymmetric unit holds Mg at (0.0000, 0.0000, 0.0000), Be at (0.1272, 0.1272, 0.6272) and Hg at (0.2500, 0.2500, 0.2500).